AlAg3 at its PBEsol-relaxed geometry. Source: Alexandria, functional meta-GGA SCAN.

abc: 4.0079 4.0079 8.5137
angles: 103.61 103.61 90.00
Closest atoms and distances in Å follow each position.
Fractional positions:
Ag  0.2500  0.7500  0.5000  4 Al 2.82, 8 Ag 2.83-2.85
Ag  0.7500  0.2500  0.5000  4 Al 2.82, 8 Ag 2.83-2.85
Ag  0.6240  0.6240  0.2480  8 Ag 2.83-2.85, 4 Al 2.83
Ag  0.5000  0.0000  0.0000  8 Ag 2.83, 4 Al 2.85
Ag  0.0000  0.5000  0.0000  8 Ag 2.83, 4 Al 2.85
Ag  0.3760  0.3760  0.7520  8 Ag 2.83-2.85, 4 Al 2.83
Al  0.8734  0.8734  0.7469  12 Ag 2.82-2.85
Al  0.1266  0.1266  0.2531  12 Ag 2.82-2.85

Values from the calculation:
M_tot (μB per atom): 0.0000
V (A^3/atom): 16.12
Energy (eV/atom): -25.546
Formation enthalpy at 0 K (eV per atom): -0.08
Mass density (g/cm³): 9.03

***

ReH2Ru2 at its PBEsol-relaxed geometry. Source: Alexandria, functional meta-GGA SCAN.

abc: 2.8043 2.8043 6.2990
angles: 102.86 102.86 90.00
Closest atoms and distances in Å follow each position.
Fractional positions:
Ru  0.6482  0.6482  0.2964  4 H 1.86
Ru  0.3518  0.3518  0.7036  4 H 1.86
H  0.2500  0.7500  0.5000  4 Ru 1.86, 4 H 1.98
H  0.7500  0.2500  0.5000  4 Ru 1.86, 4 H 1.98
Re  0.0000  0.0000  0.0000  8 Ru 2.66, 4 Re 2.80

Values from the calculation:
M_tot (μB per atom): 0.0000
V (A^3/atom): 9.40
Energy (eV/atom): -29.460
Mass density (g/cm³): 13.79

***

RuPbBr2 at its PBEsol-relaxed geometry. Source: Alexandria, functional meta-GGA SCAN.

abc: 3.6765 3.6765 7.3085
angles: 90.00 90.00 90.00
Closest atoms and distances in Å follow each position.
Fractional positions:
Br  0.0000  0.0000  0.9346  1 Pb 2.84, 4 Ru 3.10
Br  0.5000  0.5000  0.3154  1 Ru 2.84, 4 Pb 3.10
Pb  0.0000  0.0000  0.5464  5 Br 2.84-3.10, 4 Ru 2.84
Ru  0.5000  0.5000  0.7036  5 Br 2.84-3.10, 4 Pb 2.84

Values from the calculation:
M_tot (μB per atom): 0.5001
ΔE_f (raw) (eV/atom): 0.2744
V (A^3/atom): 24.70
Energy (eV/atom): -37.107
Mass density (g/cm³): 7.87
Polymorph energy (0 for the lowest one) (meV per atom): 280